Entry from Alexandria via LeMat-Bulk: an optimized crystal structure of InSn2RhPb (GGA-PBE).

a b c (Å): 5.5340 5.5340 5.0054
angles (deg): 90.00 90.00 90.00
With the nearest neighbours (Å) after each atom.
Atoms (fractional coordinates):
In  0.0000  0.0000  0.0000  2 Rh 2.50, 4 Sn 2.77
Sn  0.0000  0.5000  0.0000  2 In 2.77
Sn  0.5000  0.0000  0.0000  2 In 2.77
Rh  0.0000  0.0000  0.5000  2 In 2.50
Pb  0.5000  0.5000  0.5000  8 Sn 3.73, 4 Rh 3.91

Total moment, Bohr magnetons per cell: 0.00
Crystal system: tetragonal
DFT total energy, Ry per atom: -0.271
DFT formation energy, eV per atom: 0.68